Material: ZrAgO
Method: DFT, PBE
State: optimized geometry

Cell lengths 3.531, 3.536, 9.530 Å; angles 79.39, 90.00, 119.95 degrees
Positions (direct):
Ag (0.370, 0.740, 0.392)
Ag (0.630, 0.260, 0.608)
Zr (0.220, 0.440, 0.838)
Zr (0.780, 0.560, 0.162)
O (0.138, 0.275, 0.087)
O (0.862, 0.725, 0.913)

## Properties
Formation energy (no corrections) ... -1.486 eV per atom
V ... 100.8 Å³/cell

Material: ZrAg3O
Method: DFT, PBE
State: optimized geometry

Cell lengths 4.512, 4.512, 4.512 Å; angles 90.00, 90.00, 90.00 degrees
Last column: magnetic moment on the atom in μB.
Positions (direct):
O (0.000, 0.000, 0.000)  0.04
Ag (0.000, 0.500, 0.000)  0.04
Ag (0.000, 0.000, 0.500)  0.05
Ag (0.500, 0.000, 0.000)  0.06
Zr (0.500, 0.500, 0.500)  0.86

## Properties
Formation energy (no corrections) ... 0.379 eV per atom
Polymorph energy (0 for the lowest one) ... 0 meV per atom
V ... 91.9 Å³/cell

Material: Zr4AgO
Method: DFT, PBE
State: optimized geometry

Cell lengths 5.621, 6.704, 7.556 Å; angles 109.57, 104.02, 107.00 degrees
Positions (direct):
Ag (0.642, 0.392, 0.784)
Ag (0.358, 0.608, 0.216)
O (0.188, 0.938, 0.877)
O (0.812, 0.062, 0.123)
Zr (0.795, 0.652, 0.577)
Zr (0.282, 0.925, 0.577)
Zr (0.577, 0.268, 0.111)
Zr (0.718, 0.075, 0.423)
Zr (0.205, 0.348, 0.423)
Zr (0.966, 0.157, 0.889)
Zr (0.034, 0.843, 0.111)
Zr (0.423, 0.732, 0.889)

## Properties
Formation energy (no corrections) ... -0.676 eV per atom
V ... 237.6 Å³/cell

Material: ZrAg3O
Method: DFT, PBE
State: optimized geometry

Cell lengths 5.350, 5.350, 5.350 Å; angles 90.00, 90.00, 90.00 degrees
Positions (direct):
Ag (0.500, 0.000, 0.000)
Ag (0.000, 0.000, 0.500)
Ag (0.000, 0.500, 0.000)
Zr (0.000, 0.000, 0.000)
O (0.500, 0.500, 0.500)

## Properties
Formation energy (no corrections) ... 1.742 eV per atom
Polymorph energy (0 for the lowest one) ... 1364 meV per atom
V ... 153.1 Å³/cell

Material: Zr3AgO
Method: DFT, PBE
State: optimized geometry

Cell lengths 4.480, 4.480, 4.480 Å; angles 90.00, 90.00, 90.00 degrees
Positions (direct):
Zr (0.000, 0.500, 0.000)
Zr (0.500, 0.000, 0.000)
Zr (0.000, 0.000, 0.500)
Ag (0.500, 0.500, 0.500)
O (0.000, 0.000, 0.000)

## Properties
Formation energy (no corrections) ... -1.024 eV per atom
V ... 89.9 Å³/cell

Material: ZrAg2O
Method: DFT, PBE
State: optimized geometry

Cell lengths 8.632, 8.632, 6.443 Å; angles 47.94, 47.94, 90.00 degrees
Positions (direct):
O (0.250, 0.750, 0.500)
O (0.500, 0.500, 0.000)
Ag (0.530, 0.125, 0.250)
Ag (0.220, 0.625, 0.250)
Ag (0.375, 0.470, 0.750)
Ag (0.875, 0.780, 0.750)
Zr (0.750, 0.250, 0.500)
Zr (0.000, 0.000, 0.000)

## Properties
Formation energy (no corrections) ... -0.494 eV per atom
V ... 153.7 Å³/cell

Material: Ag3Os2
Method: DFT, PBE
State: optimized geometry

Cell lengths 12.338, 12.338, 12.338 Å; angles 12.81, 12.81, 12.81 degrees
Positions (direct):
Ag (0.799, 0.799, 0.799)
Ag (0.000, 0.000, 0.000)
Ag (0.201, 0.201, 0.201)
Os (0.400, 0.400, 0.400)
Os (0.600, 0.600, 0.600)

## Properties
E_form ... 0.564 eV/atom
V ... 80.3 Å³/cell

Material: AgOs
Method: DFT, PBE
State: optimized geometry

Cell lengths 4.509, 8.442, 4.998 Å; angles 90.00, 90.00, 90.00 degrees
Positions (direct):
Ag (0.500, 0.670, 0.342)
Ag (0.000, 0.000, 0.997)
Ag (0.500, 0.330, 0.342)
Ag (0.500, 0.170, 0.842)
Ag (0.000, 0.500, 0.497)
Ag (0.500, 0.830, 0.842)
Os (0.500, 0.000, 0.353)
Os (0.000, 0.848, 0.484)
Os (0.000, 0.652, 0.984)
Os (0.000, 0.152, 0.484)
Os (0.500, 0.500, 0.853)
Os (0.000, 0.348, 0.984)

## Properties
Polymorph energy (0 for the lowest one) ... 457 meV per atom
E_form ... 0.773 eV/atom
V ... 190.3 Å³/cell